Entry 1:
Compound: LaY2PdN
Source: the Alexandria database
Functional: GGA-PBE
Structure: relaxed

The space group is P4/mmm (No. 123) and the conventional cell measures 4.6951, 4.6951 and 5.1994 Å, with angles of 90.00, 90.00 and 90.00 degrees. The distinct sites, in fractional coordinates, are La at (0.0000, 0.0000, 0.0000), Y at (0.0000, 0.5000, 0.5000), Pd at (0.5000, 0.5000, 0.0000) and N at (0.0000, 0.0000, 0.5000).

The value obtained for the energy is -7.1188 eV per atom. For the density of states at the Fermi level, the calculation gives 3.62 states/eV/f.u. The crystal system is tetragonal. As for the energy relative to the elements, uncorrected: -844 meV/atom.

=====

Entry 2:
Compound: PmHfGePt
Source: the Alexandria database
Functional: GGA-PBE
Structure: relaxed

The space group is F-43m (No. 216) and the conventional cell measures 6.9663, 6.9663 and 6.9663 Å, with angles of 90.00, 90.00 and 90.00 degrees. The distinct sites, in fractional coordinates, are Pm at (0.0000, 0.0000, 0.0000), Hf at (0.0000, 0.0000, 0.5000), Ge at (0.2500, 0.2500, 0.7500) and Pt at (0.2500, 0.2500, 0.2500).

The calculation puts the formation energy at -2.44 eV per formula unit. The value obtained for the energy is -6.9494 eV per atom. For the density of states at the Fermi level, the calculation gives 4.02 states/eV/f.u. The crystal system is cubic.